SmYNb2Ge2 | GGA-PBE | optimized geometry

Unit cell a=4.046 b=4.046 c=8.013 alpha=90.00 beta=90.00 gamma=90.00
Element x y z (fractional)
Ge (0.500, 0.500, 0.238)
Ge (0.000, 0.000, 0.759)
Nb (0.500, 0.000, 0.999)
Nb (0.000, 0.500, 0.999)
Sm (0.000, 0.000, 0.355)
Y (0.500, 0.500, 0.650)

Output
space group: No. 99
energy: -7.403 eV/atom

Nb2SnGe2 | GGA-PBE | optimized geometry

Unit cell a=4.254 b=4.254 c=6.418 alpha=109.35 beta=109.35 gamma=90.00
Element x y z (fractional)
Ge (0.608, 0.608, 0.216)
Ge (0.392, 0.392, 0.784)
Nb (0.750, 0.250, 0.500)
Nb (0.250, 0.750, 0.500)
Sn (0.000, 0.000, 0.000)

Output
space group: No. 139
energy: -6.550 eV/atom

NbSnGe | GGA-PBE | optimized geometry

Unit cell a=4.562 b=4.562 c=4.562 alpha=60.00 beta=60.00 gamma=60.00
Element x y z (fractional)
Ge (0.000, 0.000, 0.000)
Nb (0.250, 0.250, 0.250)
Sn (0.750, 0.750, 0.750)

Output
space group: No. 216
ΔE to the lowest computed polymorph: 0.109 eV per atom

NbSnGe | GGA-PBE | optimized geometry

Unit cell a=4.607 b=4.607 c=4.607 alpha=60.00 beta=60.00 gamma=60.00
Element x y z (fractional)
Ge (0.250, 0.250, 0.250)
Nb (0.000, 0.000, 0.000)
Sn (0.750, 0.750, 0.750)

Output
space group: No. 216
ΔE to the lowest computed polymorph: 0.000 eV per atom

SrNbGe | GGA-PBE | optimized geometry

Unit cell a=5.036 b=5.036 c=5.036 alpha=60.00 beta=60.00 gamma=60.00
Element x y z (fractional)
Ge (0.250, 0.250, 0.250)
Nb (0.750, 0.750, 0.750)
Sr (0.000, 0.000, 0.000)

Output
space group: No. 216
energy: -4.199 eV/atom

SrNbGe | GGA-PBE | optimized geometry

Unit cell a=4.858 b=4.858 c=4.858 alpha=60.00 beta=60.00 gamma=60.00
Element x y z (fractional)
Ge (0.000, 0.000, 0.000)
Nb (0.250, 0.250, 0.250)
Sr (0.750, 0.750, 0.750)

Output
space group: No. 216
energy: -5.082 eV/atom

TaNbGe | GGA-PBE | optimized geometry

Unit cell a=4.464 b=4.464 c=4.464 alpha=60.00 beta=60.00 gamma=60.00
Element x y z (fractional)
Ge (0.250, 0.250, 0.250)
Nb (0.750, 0.750, 0.750)
Ta (0.000, 0.000, 0.000)

Output
space group: No. 216
energy: -8.088 eV/atom

TaNb2Ge | GGA-PBE | optimized geometry

Unit cell a=4.615 b=4.615 c=4.615 alpha=60.00 beta=60.00 gamma=60.00
Element x y z (fractional)
Ge (0.500, 0.500, 0.500)
Nb (0.000, 0.000, 0.000)
Nb (0.750, 0.750, 0.750)
Ta (0.250, 0.250, 0.250)

Output
space group: No. 216
energy: -9.172 eV/atom

Ta2NbGe | GGA-PBE | optimized geometry

Unit cell a=4.616 b=4.616 c=4.616 alpha=60.00 beta=60.00 gamma=60.00
Element x y z (fractional)
Ge (0.500, 0.500, 0.500)
Nb (0.250, 0.250, 0.250)
Ta (0.000, 0.000, 0.000)
Ta (0.750, 0.750, 0.750)

Output
space group: No. 216
energy: -9.562 eV/atom

Y2TaNbGe2 | GGA-PBE | optimized geometry

Unit cell a=4.030 b=4.030 c=7.864 alpha=90.00 beta=90.00 gamma=90.00
Element x y z (fractional)
Ge (0.500, 0.000, 0.245)
Ge (0.000, 0.500, 0.755)
Nb (0.500, 0.500, 0.000)
Ta (0.000, 0.000, 0.000)
Y (0.000, 0.500, 0.352)
Y (0.500, 0.000, 0.648)

Output
space group: No. 115
energy: -7.989 eV/atom

NbTc2Ge | GGA-PBE | optimized geometry

Unit cell a=4.313 b=4.313 c=8.167 alpha=90.00 beta=90.00 gamma=120.00
Element x y z (fractional)
Ge (0.000, 0.000, 0.000)
Ge (0.000, 0.000, 0.500)
Nb (0.333, 0.667, 0.250)
Nb (0.667, 0.333, 0.750)
Tc (0.667, 0.333, 0.097)
Tc (0.667, 0.333, 0.403)
Tc (0.333, 0.667, 0.597)
Tc (0.333, 0.667, 0.903)

Output
space group: No. 194
energy: -8.898 eV/atom

NbTc2Ge | GGA-PBE | optimized geometry

Unit cell a=4.462 b=4.462 c=7.840 alpha=90.00 beta=90.00 gamma=120.00
Element x y z (fractional)
Ge (0.000, 0.000, 0.250)
Ge (0.000, 0.000, 0.750)
Nb (0.667, 0.333, 0.250)
Nb (0.333, 0.667, 0.750)
Tc (0.333, 0.667, 0.087)
Tc (0.333, 0.667, 0.413)
Tc (0.667, 0.333, 0.587)
Tc (0.667, 0.333, 0.913)

Output
space group: No. 194
energy: -8.641 eV/atom